Entry from Alexandria via LeMat-Bulk: a relaxed structure of KTe2MoIr (PBE-GGA).

Cell: 5.1667 5.1667 5.3291 Å, 90.00 90.00 90.00°
Last column: nearest neighbours and their distance in Å.
Element x y z (fractional)
K (0.0000, 0.0000, 0.0000)  2 Mo 2.66
Te (0.0000, 0.5000, 0.5000)  2 Mo 2.58
Te (0.5000, 0.0000, 0.5000)  2 Mo 2.58
Mo (0.0000, 0.0000, 0.5000)  4 Te 2.58, 2 K 2.66
Ir (0.5000, 0.5000, 0.0000)  4 K 3.65, 8 Te 3.71

The value obtained for the total DFT energy (no corrections) is -4.020 eV per atom. For the formation energy from raw total energies, the calculation gives 1.394 eV/atom.


Entry from Alexandria via LeMat-Bulk: a relaxed structure of K2TiMoIr (PBE-GGA).

Cell: 6.0739 6.0739 4.5409 Å, 90.00 90.00 90.00°
Last column: nearest neighbours and their distance in Å.
Element x y z (fractional)
K (0.0000, 0.5000, 0.0000)  2 Mo 3.04
K (0.5000, 0.0000, 0.0000)  2 Mo 3.04
Ti (0.0000, 0.0000, 0.5000)  2 Mo 2.27
Mo (0.0000, 0.0000, 0.0000)  2 Ti 2.27
Ir (0.5000, 0.5000, 0.5000)  8 K 3.79

For the formation energy, the calculation gives 2.032 eV per atom. The value obtained for the total DFT energy (no corrections) is -3.925 eV per atom.


Entry from Alexandria via LeMat-Bulk: a relaxed structure of KTlMo2Ir (PBE-GGA).

Cell: 5.4199 5.4199 5.1448 Å, 90.00 90.00 90.00°
Last column: nearest neighbours and their distance in Å.
Element x y z (fractional)
K (0.0000, 0.0000, 0.0000)  8 Mo 3.74, 4 Ir 3.83
Tl (0.5000, 0.5000, 0.5000)  2 Ir 2.57, 4 Mo 2.71
Mo (0.0000, 0.5000, 0.5000)  2 Tl 2.71
Mo (0.5000, 0.0000, 0.5000)  2 Tl 2.71
Ir (0.5000, 0.5000, 0.0000)  2 Tl 2.57

For the formation energy, the calculation gives 2.197 eV per atom. The value obtained for the total DFT energy (no corrections) is -4.601 eV per atom.


Entry from Alexandria via LeMat-Bulk: a relaxed structure of KZrMoIr2 (PBE-GGA).

Cell: 4.5912 4.5912 4.6362 Å, 90.00 90.00 90.00°
Last column: nearest neighbours and their distance in Å.
Element x y z (fractional)
K (0.0000, 0.0000, 0.0000)  4 Ir 2.30, 2 Zr 2.32
Zr (0.0000, 0.0000, 0.5000)  2 K 2.32
Mo (0.5000, 0.5000, 0.5000)  4 Zr 3.25, 8 Ir 3.26
Ir (0.0000, 0.5000, 0.0000)  2 K 2.30
Ir (0.5000, 0.0000, 0.0000)  2 K 2.30

For the formation energy, the calculation gives 2.644 eV per atom. The value obtained for the total DFT energy (no corrections) is -4.995 eV per atom.


Entry from Alexandria via LeMat-Bulk: a relaxed structure of KIrN3 (PBE-GGA).

Cell: 4.0323 4.0323 4.0323 Å, 90.00 90.00 90.00°
Last column: nearest neighbours and their distance in Å.
Element x y z (fractional)
K (0.0000, 0.0000, 0.0000)  6 N 2.02
Ir (0.5000, 0.5000, 0.5000)  12 N 2.85
N (0.0000, 0.0000, 0.5000)  2 K 2.02
N (0.0000, 0.5000, 0.0000)  2 K 2.02
N (0.5000, 0.0000, 0.0000)  2 K 2.02

The value obtained for the total DFT energy (no corrections) is -3.009 eV per atom. For the formation energy from raw total energies, the calculation gives 3.978 eV/atom.


Entry from Alexandria via LeMat-Bulk: a relaxed structure of KIrN2 (PBE-GGA).

Cell: 5.6285 5.6285 5.6285 Å, 114.93 114.93 99.04°
Last column: nearest neighbours and their distance in Å.
Element x y z (fractional)
K (0.0000, 0.0000, 0.0000)  8 N 2.89-3.22
K (0.7500, 0.2500, 0.5000)  8 N 2.89-3.22
Ir (0.2500, 0.7500, 0.5000)  4 N 1.92
Ir (0.5000, 0.5000, 0.0000)  4 N 1.92
N (0.2520, 0.6250, 0.1270)  2 Ir 1.92
N (0.3750, 0.5020, 0.6270)  2 Ir 1.92
N (0.4980, 0.1250, 0.8730)  2 Ir 1.92
N (0.8750, 0.7480, 0.3730)  2 Ir 1.92

The calculation puts the energy above the most stable polymorph in this dataset at 0.00 eV per formula unit. The value obtained for the total DFT energy (no corrections) is -6.331 eV per atom. For the formation energy from raw total energies, the calculation gives 0.321 eV/atom.


Entry from Alexandria via LeMat-Bulk: a relaxed structure of KIrN2 (PBE-GGA).

Cell: 4.0283 4.0283 4.0283 Å, 60.00 60.00 60.00°
Last column: nearest neighbours and their distance in Å.
Element x y z (fractional)
K (0.0000, 0.0000, 0.0000)  8 N 2.47
Ir (0.5000, 0.5000, 0.5000)  8 N 2.47
N (0.2500, 0.2500, 0.2500)  4 K 2.47, 4 Ir 2.47
N (0.7500, 0.7500, 0.7500)  4 K 2.47, 4 Ir 2.47

The calculation puts the energy above the most stable polymorph in this dataset at 5.63 eV per formula unit. The value obtained for the total DFT energy (no corrections) is -4.924 eV per atom. For the formation energy from raw total energies, the calculation gives 1.729 eV/atom.


Entry from Alexandria via LeMat-Bulk: a relaxed structure of KIr2N2 (PBE-GGA).

Cell: 6.5957 6.5957 6.5957 Å, 147.35 147.35 46.85°
Last column: nearest neighbours and their distance in Å.
Element x y z (fractional)
K (0.0000, 0.0000, 0.0000)  8 N 3.25, 8 Ir 3.55
Ir (0.2500, 0.7500, 0.5000)  4 N 2.16
Ir (0.7500, 0.2500, 0.5000)  4 N 2.16
N (0.3408, 0.3408, 0.0000)  4 Ir 2.16
N (0.6592, 0.6592, 0.0000)  4 Ir 2.16

The calculation puts the energy above the most stable polymorph in this dataset at 0.00 eV per formula unit. The value obtained for the total DFT energy (no corrections) is -6.487 eV per atom. For the formation energy from raw total energies, the calculation gives 0.607 eV/atom.


Entry from Alexandria via LeMat-Bulk: a relaxed structure of KIrN2 (PBE-GGA).

Cell: 6.7511 6.7511 6.7511 Å, 28.75 28.75 28.75°
Last column: nearest neighbours and their distance in Å.
Element x y z (fractional)
K (0.0000, 0.0000, 0.0000)  2 N 2.50
Ir (0.5000, 0.5000, 0.5000)  6 N 2.07
N (0.1287, 0.1287, 0.1287)  3 Ir 2.07
N (0.8713, 0.8713, 0.8713)  3 Ir 2.07

The calculation puts the energy above the most stable polymorph in this dataset at 1.59 eV per formula unit. The value obtained for the total DFT energy (no corrections) is -5.934 eV per atom. For the formation energy from raw total energies, the calculation gives 0.718 eV/atom.


Entry from Alexandria via LeMat-Bulk: a relaxed structure of KIr2N (PBE-GGA).

Cell: 6.2491 6.2491 6.2491 Å, 120.22 120.22 89.62°
Last column: nearest neighbours and their distance in Å.
Element x y z (fractional)
K (0.3750, 0.6250, 0.7500)  12 Ir 3.65-3.67, 4 K 3.82, 4 N 3.82
K (0.6250, 0.3750, 0.2500)  12 Ir 3.65-3.67, 4 N 3.82, 4 K 3.82
Ir (0.0000, 0.0000, 0.0000)  2 N 1.91
Ir (0.0000, 0.0000, 0.5000)  2 N 1.91
Ir (0.0000, 0.5000, 0.0000)  2 N 1.91
Ir (0.5000, 0.0000, 0.5000)  2 N 1.91
N (0.1250, 0.8750, 0.2500)  4 Ir 1.91
N (0.8750, 0.1250, 0.7500)  4 Ir 1.91

The value obtained for the total DFT energy (no corrections) is -6.225 eV per atom. For the formation energy from raw total energies, the calculation gives 0.562 eV/atom.


Entry from Alexandria via LeMat-Bulk: a relaxed structure of K2IrN (PBE-GGA).

Cell: 8.4091 8.4091 8.4091 Å, 92.85 92.85 154.24°
Last column: nearest neighbours and their distance in Å.
Element x y z (fractional)
K (0.3750, 0.1477, 0.2727)  2 N 2.95, 2 Ir 3.23
K (0.8523, 0.1250, 0.2273)  2 N 2.95, 2 Ir 3.23
K (0.8750, 0.1023, 0.7273)  2 N 2.95, 2 Ir 3.23
K (0.8977, 0.6250, 0.7727)  2 N 2.95, 2 Ir 3.23
Ir (0.2500, 0.7500, 0.5000)  2 N 1.87
Ir (0.5000, 0.5000, 0.0000)  2 N 1.87
N (0.0000, 0.0000, 0.0000)  2 Ir 1.87
N (0.7500, 0.2500, 0.5000)  2 Ir 1.87

The value obtained for the total DFT energy (no corrections) is -4.916 eV per atom. For the formation energy from raw total energies, the calculation gives -0.071 eV/atom.


Entry from Alexandria via LeMat-Bulk: a relaxed structure of KIrN3 (PBE-GGA).

Cell: 3.9257 3.9257 3.9257 Å, 90.00 90.00 90.00°
Last column: nearest neighbours and their distance in Å.
Element x y z (fractional)
K (0.0000, 0.0000, 0.0000)  12 N 2.78
Ir (0.5000, 0.5000, 0.5000)  6 N 1.96
N (0.0000, 0.5000, 0.5000)  2 Ir 1.96
N (0.5000, 0.0000, 0.5000)  2 Ir 1.96
N (0.5000, 0.5000, 0.0000)  2 Ir 1.96

The value obtained for the total DFT energy (no corrections) is -5.945 eV per atom. For the formation energy from raw total energies, the calculation gives 1.042 eV/atom.